[1]
A relaxed structure of Tb6SmDy2Sc3. Source: Alexandria, functional GGA-PBE.

Cell lengths 6.064, 6.064, 11.488 Å; angles 95.04, 95.04, 119.97 degrees
Fractional coordinates of all 12 atoms:
Tb 0.753 0.753 0.260
Tb 0.247 0.247 0.740
Tb 0.420 0.087 0.260
Tb 0.087 0.420 0.260
Tb 0.913 0.580 0.740
Tb 0.580 0.913 0.740
Sm 0.000 0.000 0.000
Sc 0.167 0.833 0.500
Sc 0.833 0.167 0.500
Sc 0.500 0.500 0.500
Dy 0.667 0.333 0.000
Dy 0.333 0.667 0.000

Computed properties:
Formation enthalpy at 0 K   0.04 eV per atom
Crystal system   monoclinic

---

[2]
A relaxed structure of TbSmDy2Sc4. Source: Alexandria, functional GGA-PBE.

Cell lengths 3.432, 5.943, 11.157 Å; angles 79.81, 90.00, 90.00 degrees
Fractional coordinates of all 8 atoms:
Sc 0.000 0.751 0.749
Sc 0.500 0.250 0.749
Sc 0.500 0.750 0.251
Sc 0.000 0.249 0.251
Dy 0.500 0.000 0.500
Dy 0.000 0.000 0.000
Tb 0.000 0.500 0.500
Sm 0.500 0.500 0.000

Computed properties:
Formation enthalpy at 0 K   0.06 eV per atom
Crystal system   monoclinic

---

[3]
A relaxed structure of TbSm5Dy2Sc. Source: Alexandria, functional GGA-PBE.

Cell lengths 5.568, 10.522, 10.427 Å; angles 90.00, 90.00, 105.34 degrees
Fractional coordinates of all 18 atoms:
Dy 0.885 0.769 0.238
Dy 0.115 0.231 0.738
Dy 0.887 0.775 0.807
Dy 0.113 0.225 0.307
Sm 0.725 0.450 0.820
Sm 0.515 0.029 0.244
Sm 0.626 0.252 0.519
Sm 0.702 0.404 0.207
Sm 0.485 0.971 0.744
Sm 0.984 0.969 0.513
Sm 0.275 0.550 0.320
Sm 0.298 0.596 0.707
Sm 0.016 0.031 0.013
Sm 0.374 0.748 0.019
Tb 0.595 0.189 0.962
Tb 0.405 0.811 0.462
Sc 0.195 0.390 0.015
Sc 0.805 0.610 0.515

Computed properties:
Formation enthalpy at 0 K   0.16 eV per atom
Crystal system   orthorhombic

---

[4]
A relaxed structure of TbSmDySc. Source: Alexandria, functional GGA-PBE.

Cell lengths 5.567, 5.567, 5.567 Å; angles 60.00, 60.00, 60.00 degrees
Fractional coordinates of all 4 atoms:
Sm 0.750 0.750 0.750
Dy 0.500 0.500 0.500
Tb 0.250 0.250 0.250
Sc 0.000 0.000 0.000

Computed properties:
Formation enthalpy at 0 K   0.12 eV per atom
Energy above the lowest structure with this stoichiometry   23 meV/atom
Crystal system   cubic

---

[5]
A relaxed structure of Tb2SmDySc. Source: Alexandria, functional GGA-PBE.

Cell lengths 7.085, 8.204, 6.970 Å; angles 126.06, 90.00, 90.00 degrees
Fractional coordinates of all 10 atoms:
Sm 0.250 0.731 0.461
Sm 0.750 0.269 0.539
Sc 0.750 0.004 0.008
Sc 0.250 0.996 0.992
Tb 0.000 0.302 0.000
Tb 0.500 0.698 0.000
Tb 0.500 0.302 0.000
Tb 0.000 0.698 0.000
Dy 0.250 0.266 0.531
Dy 0.750 0.734 0.469

Computed properties:
Formation enthalpy at 0 K   0.34 eV per atom
Crystal system   orthorhombic

---

[6]
A relaxed structure of TbSmDy2Sc2. Source: Alexandria, functional GGA-PBE.

Cell lengths 3.340, 6.297, 17.393 Å; angles 90.00, 90.00, 90.00 degrees
Fractional coordinates of all 12 atoms:
Tb 0.500 0.500 0.500
Tb 0.000 0.000 0.000
Dy 0.500 0.277 0.309
Dy 0.000 0.777 0.191
Dy 0.000 0.223 0.809
Dy 0.500 0.723 0.691
Sm 0.000 0.000 0.500
Sm 0.500 0.500 0.000
Sc 0.000 0.277 0.146
Sc 0.000 0.723 0.854
Sc 0.500 0.777 0.354
Sc 0.500 0.223 0.646

Computed properties:
Formation enthalpy at 0 K   0.28 eV per atom
Crystal system   orthorhombic

---

[7]
A relaxed structure of SmDy3Sc2Te6. Source: Alexandria, functional GGA-PBE.

Cell lengths 4.296, 8.647, 9.630 Å; angles 102.56, 102.89, 90.00 degrees
Fractional coordinates of all 12 atoms:
Sm 0.500 0.000 0.000
Te 0.672 0.095 0.345
Te 0.006 0.258 0.013
Te 0.328 0.905 0.655
Te 0.329 0.423 0.658
Te 0.671 0.577 0.342
Te 0.994 0.742 0.987
Dy 0.500 0.500 0.000
Dy 0.159 0.831 0.317
Dy 0.841 0.169 0.683
Sc 0.164 0.330 0.328
Sc 0.836 0.670 0.672

Computed properties:
E_form (uncorrected)   -1.230 eV per atom
Crystal system   monoclinic

---

[8]
A relaxed structure of SmDy2ScTe6. Source: Alexandria, functional GGA-PBE.

Cell lengths 7.634, 7.634, 8.251 Å; angles 62.45, 62.45, 60.01 degrees
Fractional coordinates of all 10 atoms:
Te 0.108 0.413 0.760
Te 0.588 0.234 0.247
Te 0.234 0.932 0.247
Te 0.719 0.108 0.760
Te 0.413 0.719 0.760
Te 0.932 0.588 0.247
Sm 0.823 0.823 0.530
Dy 0.008 0.008 0.975
Dy 0.511 0.511 0.468
Sc 0.326 0.326 0.023

Computed properties:
E_form (uncorrected)   -1.313 eV per atom
Crystal system   trigonal

---

[9]
A relaxed structure of SmDyScTe3. Source: Alexandria, functional GGA-PBE.

Cell lengths 4.280, 8.723, 9.916 Å; angles 104.24, 90.00, 90.00 degrees
Fractional coordinates of all 12 atoms:
Sc 0.250 0.089 0.593
Sc 0.750 0.911 0.407
Te 0.750 0.414 0.157
Te 0.750 0.905 0.113
Te 0.750 0.266 0.496
Te 0.250 0.586 0.843
Te 0.250 0.734 0.504
Te 0.250 0.095 0.887
Dy 0.250 0.670 0.170
Dy 0.750 0.330 0.830
Sm 0.250 0.174 0.238
Sm 0.750 0.826 0.762

Computed properties:
E_form (uncorrected)   -1.191 eV per atom
Crystal system   monoclinic

---

[10]
A relaxed structure of Sm3Dy3ScTe8. Source: Alexandria, functional GGA-PBE.

Cell lengths 8.731, 8.731, 8.760 Å; angles 119.89, 90.00, 120.00 degrees
Fractional coordinates of all 15 atoms:
Te 0.754 0.005 0.259
Te 0.246 0.492 0.741
Te 0.749 0.995 0.741
Te 0.251 0.005 0.259
Te 0.246 0.995 0.741
Te 0.748 0.495 0.743
Te 0.252 0.505 0.257
Te 0.754 0.508 0.259
Sm 0.000 0.500 0.000
Sm 0.500 0.500 0.000
Sm 0.000 0.000 0.000
Dy 0.500 0.000 0.500
Dy 0.000 0.500 0.500
Dy 0.500 0.500 0.500
Sc 0.000 0.000 0.500

Computed properties:
E_form (uncorrected)   -1.362 eV per atom
Crystal system   trigonal

---

[11]
A relaxed structure of SmDy3ThSc. Source: Alexandria, functional GGA-PBE.

Cell lengths 5.010, 7.851, 10.505 Å; angles 116.38, 90.00, 90.00 degrees
Fractional coordinates of all 12 atoms:
Dy 0.250 0.634 0.458
Dy 0.750 0.871 0.047
Dy 0.250 0.129 0.953
Dy 0.750 0.366 0.542
Dy 0.750 0.387 0.210
Dy 0.250 0.613 0.790
Sm 0.750 0.877 0.703
Sm 0.250 0.123 0.297
Th 0.750 0.377 0.876
Th 0.250 0.623 0.124
Sc 0.250 0.126 0.626
Sc 0.750 0.874 0.374

Computed properties:
Formation enthalpy at 0 K   0.04 eV per atom
Crystal system   monoclinic

---

[12]
A relaxed structure of Sm3Dy6ThSc2. Source: Alexandria, functional GGA-PBE.

Cell lengths 6.083, 6.083, 11.726 Å; angles 94.96, 94.96, 119.98 degrees
Fractional coordinates of all 12 atoms:
Sm 0.833 0.167 0.500
Sm 0.167 0.833 0.500
Sm 0.500 0.500 0.500
Th 0.000 0.000 0.000
Dy 0.415 0.082 0.244
Dy 0.252 0.252 0.756
Dy 0.748 0.748 0.244
Dy 0.585 0.918 0.756
Dy 0.918 0.585 0.756
Dy 0.082 0.415 0.244
Sc 0.333 0.667 0.000
Sc 0.667 0.333 0.000

Computed properties:
Formation enthalpy at 0 K   0.04 eV per atom
Crystal system   monoclinic

---

[13]
A relaxed structure of Sm3Dy6Th2Sc. Source: Alexandria, functional GGA-PBE.

Cell lengths 6.136, 6.136, 11.768 Å; angles 95.01, 95.01, 120.00 degrees
Fractional coordinates of all 12 atoms:
Th 0.334 0.666 0.000
Th 0.666 0.334 0.000
Dy 0.252 0.252 0.755
Dy 0.748 0.748 0.245
Dy 0.586 0.919 0.756
Dy 0.414 0.081 0.244
Dy 0.081 0.414 0.244
Dy 0.919 0.586 0.756
Sm 0.167 0.833 0.500
Sm 0.500 0.500 0.500
Sm 0.833 0.167 0.500
Sc 0.000 0.000 0.000

Computed properties:
Formation enthalpy at 0 K   0.03 eV per atom
Crystal system   monoclinic

---

[14]
A relaxed structure of Sm2DyThSc4. Source: Alexandria, functional GGA-PBE.

Cell lengths 5.003, 5.010, 10.351 Å; angles 61.06, 90.00, 90.00 degrees
Fractional coordinates of all 8 atoms:
Sc 0.000 0.752 0.747
Sc 0.500 0.747 0.253
Sc 0.500 0.253 0.747
Sc 0.000 0.248 0.253
Sm 0.000 0.000 0.000
Sm 0.500 0.000 0.500
Dy 0.500 0.500 0.000
Th 0.000 0.500 0.500

Computed properties:
Formation enthalpy at 0 K   0.05 eV per atom
Crystal system   tetragonal

---

[15]
A relaxed structure of Sm2Dy4ThSc. Source: Alexandria, functional GGA-PBE.

Cell lengths 5.863, 9.365, 5.862 Å; angles 51.26, 90.00, 90.00 degrees
Fractional coordinates of all 8 atoms:
Sm 0.000 0.000 0.000
Sm 0.500 0.000 0.500
Th 0.000 0.500 0.500
Dy 0.500 0.742 0.257
Dy 0.500 0.258 0.743
Dy 0.000 0.257 0.243
Dy 0.000 0.743 0.757
Sc 0.500 0.500 0.000

Computed properties:
Formation enthalpy at 0 K   0.14 eV per atom
Crystal system   tetragonal

---

[16]
A relaxed structure of Sm2Dy5ThSc. Source: Alexandria, functional GGA-PBE.

Cell lengths 5.659, 11.269, 9.466 Å; angles 90.00, 90.00, 104.54 degrees
Fractional coordinates of all 18 atoms:
Sc 0.808 0.616 0.514
Sc 0.192 0.384 0.014
Sm 0.134 0.268 0.709
Sm 0.885 0.770 0.818
Sm 0.866 0.732 0.209
Sm 0.115 0.230 0.318
Dy 0.304 0.608 0.719
Dy 0.606 0.212 0.545
Dy 0.696 0.392 0.219
Dy 0.528 0.056 0.248
Dy 0.988 0.975 0.511
Dy 0.268 0.536 0.330
Dy 0.394 0.788 0.045
Dy 0.472 0.944 0.748
Dy 0.012 0.025 0.011
Dy 0.732 0.464 0.830
Th 0.600 0.200 0.930
Th 0.400 0.800 0.430

Computed properties:
Formation enthalpy at 0 K   0.17 eV per atom
Crystal system   orthorhombic

---

[17]
A relaxed structure of Sm2DyScTl2. Source: Alexandria, functional GGA-PBE.

Cell lengths 4.986, 6.921, 9.924 Å; angles 90.00, 90.00, 90.00 degrees
Fractional coordinates of all 12 atoms:
Sm 0.500 0.058 0.048
Sm 0.000 0.339 0.189
Sm 0.000 0.839 0.811
Sm 0.500 0.558 0.952
Tl 0.500 0.229 0.385
Tl 0.500 0.729 0.615
Tl 0.000 0.296 0.854
Tl 0.000 0.796 0.146
Sc 0.500 0.167 0.690
Sc 0.500 0.667 0.310
Dy 0.000 0.957 0.454
Dy 0.000 0.457 0.546

Computed properties:
Formation enthalpy at 0 K   -0.26 eV per atom
Crystal system   orthorhombic

---

[18]
A relaxed structure of SmDySc2Tl4. Source: Alexandria, functional GGA-PBE.

Cell lengths 5.262, 5.262, 9.130 Å; angles 73.25, 73.25, 60.00 degrees
Fractional coordinates of all 8 atoms:
Tl 0.126 0.126 0.622
Tl 0.376 0.376 0.872
Tl 0.874 0.874 0.378
Tl 0.624 0.624 0.128
Sc 0.250 0.250 0.251
Sc 0.750 0.750 0.749
Dy 0.500 0.500 0.500
Sm 0.000 0.000 0.000

Computed properties:
Formation enthalpy at 0 K   -0.30 eV per atom
Crystal system   trigonal

---

[19]
A relaxed structure of SmDy2ScTl2. Source: Alexandria, functional GGA-PBE.

Cell lengths 4.974, 6.942, 9.807 Å; angles 90.00, 90.00, 90.00 degrees
Fractional coordinates of all 12 atoms:
Dy 0.000 0.846 0.813
Dy 0.000 0.346 0.187
Dy 0.500 0.554 0.950
Dy 0.500 0.054 0.050
Tl 0.000 0.293 0.864
Tl 0.000 0.793 0.136
Tl 0.500 0.231 0.378
Tl 0.500 0.731 0.622
Sm 0.000 0.955 0.451
Sm 0.000 0.455 0.549
Sc 0.500 0.666 0.303
Sc 0.500 0.166 0.697

Computed properties:
Formation enthalpy at 0 K   -0.26 eV per atom
Crystal system   orthorhombic

---

[20]
A relaxed structure of Sm5Dy2TmSc. Source: Alexandria, functional GGA-PBE.

Cell lengths 5.322, 11.205, 10.128 Å; angles 90.00, 90.00, 103.74 degrees
Fractional coordinates of all 18 atoms:
Sm 0.627 0.253 0.508
Sm 0.999 0.998 0.008
Sm 0.373 0.747 0.008
Sm 0.721 0.442 0.196
Sm 0.279 0.558 0.320
Sm 0.500 0.000 0.258
Sm 0.500 0.000 0.758
Sm 0.001 0.002 0.508
Sm 0.721 0.442 0.820
Sm 0.279 0.558 0.696
Sc 0.786 0.572 0.508
Sc 0.214 0.428 0.008
Dy 0.884 0.768 0.259
Dy 0.116 0.232 0.257
Dy 0.116 0.232 0.759
Dy 0.884 0.768 0.757
Tm 0.399 0.798 0.508
Tm 0.601 0.202 0.008

Computed properties:
Formation enthalpy at 0 K   0.13 eV per atom
Crystal system   orthorhombic